# LaDy4Tm7 | Alexandria via LeMat-Bulk | PBE | relaxed
# Formation enthalpy at 0 K (eV/f.u.): 3.34
# Theoretical density (Mg/m³): 8.4
data_LaDy4Tm7
_chemical_formula_sum 'La2 Dy8 Tm14'
_cell_length_a 12.046
_cell_length_b 5.829
_cell_length_c 12.513
_cell_angle_alpha 90.00
_cell_angle_beta 117.86
_cell_angle_gamma 90.00
_space_group_name_H-M_alt 'C 1 2/m 1'
_space_group_IT_number 12
loop_
_space_group_symop_operation_xyz
'x,y,z'
'-x,-y,-z'
'-x,y,-z'
'x,-y,z'
'x+1/2,y+1/2,z'
'-x+1/2,-y+1/2,-z'
'-x+1/2,y+1/2,-z'
'x+1/2,-y+1/2,z'
loop_
_atom_site_label
_atom_site_fract_x
_atom_site_fract_y
_atom_site_fract_z
La1 0.000 0.000 0.000
Dy1 0.129 0.500 0.775
Dy2 0.246 0.500 0.315
Tm1 0.000 0.500 0.000
Tm2 0.056 0.000 0.337
Tm3 0.136 0.500 0.506
Tm4 0.211 0.000 0.922